A relaxed As2PSe2 crystal, computed with PBE.

Computed properties:
Offset from the most stable computed form: 0.0000 eV per atom
Space group: I4/mmm (139)
Total moment: 0.000 μB/cell
Uncorrected formation energy: 0.538 eV per atom

a b c (Å): 5.208 5.208 5.560
angles (deg): 62.08 62.08 90.00
Fractional coordinates of all 5 atoms:
1 P 0.000 0.000 0.000
2 As 0.750 0.250 0.500
3 As 0.250 0.750 0.500
4 Se 0.317 0.317 0.366
5 Se 0.683 0.683 0.634


A relaxed Pr6SmTm8 crystal, computed with PBE.

Computed properties:
Space group: R-3 (148)
Energy of formation: 0.126 eV/atom
Total moment: 0.000 μB/cell

a b c (Å): 9.054 9.054 8.744
angles (deg): 58.82 58.82 60.00
Fractional coordinates of all 15 atoms:
1 Pr 0.463 0.901 0.864
2 Pr 0.099 0.228 0.136
3 Pr 0.228 0.537 0.136
4 Pr 0.772 0.463 0.864
5 Pr 0.901 0.772 0.864
6 Pr 0.537 0.099 0.136
7 Sm 0.000 0.000 0.000
8 Tm 0.711 0.113 0.422
9 Tm 0.887 0.246 0.578
10 Tm 0.246 0.289 0.578
11 Tm 0.577 0.577 0.270
12 Tm 0.423 0.423 0.730
13 Tm 0.754 0.711 0.422
14 Tm 0.113 0.754 0.422
15 Tm 0.289 0.887 0.578


A relaxed BaAs2 crystal, computed with PBE.

Computed properties:
Space group: P4/mmm (123)
Energy of formation: -0.580 eV/atom
Total moment: 0.000 μB/cell

a b c (Å): 4.122 4.122 5.316
angles (deg): 90.00 90.00 90.00
Fractional coordinates of all 3 atoms:
1 As 0.000 0.500 0.500
2 As 0.500 0.000 0.500
3 Ba 0.000 0.000 0.000


A relaxed Pm6InRh3 crystal, computed with PBE.

Computed properties:
Space group: P2_1/m (11)
Energy of formation: -0.499 eV/atom
Total moment: 0.000 μB/cell

a b c (Å): 4.608 10.822 12.105
angles (deg): 112.20 90.00 90.00
Fractional coordinates of all 20 atoms:
1 Pm 0.750 0.480 0.612
2 Pm 0.250 0.520 0.388
3 Pm 0.750 0.877 0.099
4 Pm 0.250 0.123 0.901
5 Pm 0.750 0.404 0.065
6 Pm 0.250 0.596 0.935
7 Pm 0.750 0.725 0.308
8 Pm 0.250 0.275 0.692
9 Pm 0.750 0.130 0.433
10 Pm 0.250 0.870 0.567
11 Pm 0.750 0.834 0.801
12 Pm 0.250 0.166 0.199
13 In 0.750 0.082 0.702
14 In 0.250 0.918 0.298
15 Rh 0.750 0.416 0.826
16 Rh 0.250 0.584 0.174
17 Rh 0.750 0.688 0.525
18 Rh 0.250 0.312 0.475
19 Rh 0.750 0.111 0.042
20 Rh 0.250 0.889 0.958


A relaxed YHo3Er5 crystal, computed with PBE.

Computed properties:
Offset from the most stable computed form: 0.0000 eV per atom
Space group: C2/c (15)
Energy of formation: 0.233 eV/atom
Total moment: 0.000 μB/cell

a b c (Å): 9.238 9.238 10.935
angles (deg): 53.54 53.54 56.42
Fractional coordinates of all 18 atoms:
1 Y 0.670 0.330 0.750
2 Y 0.330 0.670 0.250
3 Ho 0.000 0.000 0.000
4 Ho 0.182 0.253 0.533
5 Ho 0.000 0.000 0.500
6 Ho 0.818 0.747 0.467
7 Ho 0.253 0.182 0.033
8 Ho 0.747 0.818 0.967
9 Er 0.231 0.769 0.750
10 Er 0.716 0.476 0.925
11 Er 0.534 0.103 0.200
12 Er 0.284 0.524 0.075
13 Er 0.897 0.466 0.300
14 Er 0.769 0.231 0.250
15 Er 0.476 0.716 0.425
16 Er 0.524 0.284 0.575
17 Er 0.103 0.534 0.700
18 Er 0.466 0.897 0.800


A relaxed Np4Ta3CrC8 crystal, computed with PBE.

Computed properties:
Space group: R-3m (166)
Energy of formation: -0.217 eV/atom
Total moment: 7.702 μB/cell

a b c (Å): 6.470 6.682 6.470
angles (deg): 118.96 120.00 90.00
Each line ends with the local moment (μB).
Fractional coordinates of all 16 atoms:
1 Np 0.500 0.000 0.000  2.57
2 Np 0.500 0.000 0.500  2.33
3 Np 0.000 0.000 0.000  2.33
4 Np 0.000 0.000 0.500  2.33
5 Ta 0.500 0.500 0.000  -0.04
6 Ta 0.500 0.500 0.500  -0.04
7 Ta 0.000 0.500 0.500  -0.04
8 Cr 0.000 0.500 0.000  -1.55
9 C 0.239 0.723 0.984  -0.05
10 C 0.239 0.723 0.478  -0.05
11 C 0.258 0.275 0.517  -0.06
12 C 0.745 0.723 0.984  -0.05
13 C 0.255 0.277 0.016  -0.05
14 C 0.742 0.725 0.483  -0.06
15 C 0.761 0.277 0.522  -0.05
16 C 0.761 0.277 0.016  -0.05


A relaxed CaLaIrRh crystal, computed with PBE.

Computed properties:
Space group: F-43m (216)
Energy of formation: -0.457 eV/atom
Total moment: 0.000 μB/cell

a b c (Å): 4.958 4.958 4.958
angles (deg): 60.00 60.00 60.00
Fractional coordinates of all 4 atoms:
1 Ca 0.750 0.750 0.750
2 Ir 0.000 0.000 0.000
3 Rh 0.500 0.500 0.500
4 La 0.250 0.250 0.250


A relaxed La7Dy6Ho16 crystal, computed with PBE.

Computed properties:
Space group: Fm-3m (225)
Energy of formation: 0.273 eV/atom
Total moment: 0.000 μB/cell

a b c (Å): 11.289 11.289 11.289
angles (deg): 60.00 60.00 60.00
Fractional coordinates of all 29 atoms:
1 La 0.000 0.000 0.000
2 La 0.500 0.000 0.500
3 La 0.000 0.500 0.000
4 La 0.000 0.500 0.500
5 La 0.500 0.000 0.000
6 La 0.000 0.000 0.500
7 La 0.500 0.500 0.000
8 Dy 0.252 0.748 0.252
9 Dy 0.748 0.252 0.748
10 Dy 0.748 0.252 0.252
11 Dy 0.252 0.748 0.748
12 Dy 0.748 0.748 0.252
13 Dy 0.252 0.252 0.748
14 Ho 0.870 0.870 0.391
15 Ho 0.870 0.870 0.870
16 Ho 0.870 0.391 0.870
17 Ho 0.391 0.870 0.870
18 Ho 0.130 0.130 0.130
19 Ho 0.130 0.130 0.609
20 Ho 0.130 0.609 0.130
21 Ho 0.609 0.130 0.130
22 Ho 0.650 0.650 0.049
23 Ho 0.650 0.650 0.650
24 Ho 0.650 0.049 0.650
25 Ho 0.049 0.650 0.650
26 Ho 0.350 0.350 0.350
27 Ho 0.350 0.350 0.951
28 Ho 0.350 0.951 0.350
29 Ho 0.951 0.350 0.350


A relaxed ZnPAuO2 crystal, computed with PBE.

Computed properties:
Offset from the most stable computed form: 0.0000 eV per atom
Space group: P4/mmm (123)
Total moment: 1.802 μB/cell
Uncorrected formation energy: 0.270 eV per atom

a b c (Å): 3.688 3.688 6.090
angles (deg): 90.00 90.00 90.00
Each line ends with the local moment (μB).
Fractional coordinates of all 5 atoms:
1 P 0.000 0.000 0.500  0.24
2 Zn 0.000 0.000 0.000  0.01
3 Au 0.500 0.500 0.500  0.05
4 O 0.000 0.500 0.000  0.53
5 O 0.500 0.000 0.000  0.53


A relaxed ScPAuCl2 crystal, computed with PBE.

Computed properties:
Offset from the most stable computed form: 0.5724 eV per atom
Space group: P4/mmm (123)
Total moment: 0.234 μB/cell
Uncorrected formation energy: 0.102 eV per atom

a b c (Å): 4.863 4.863 5.096
angles (deg): 90.00 90.00 90.00
Each line ends with the local moment (μB).
Fractional coordinates of all 5 atoms:
1 Sc 0.500 0.500 0.500  0.29
2 P 0.000 0.000 0.500  -0.05
3 Au 0.000 0.000 0.000  -0.01
4 Cl 0.000 0.500 0.000  -0.01
5 Cl 0.500 0.000 0.000  -0.01


A relaxed Ta2MoPdN crystal, computed with PBE.

Computed properties:
Space group: P4/mmm (123)
Total moment: 0.000 μB/cell
Uncorrected formation energy: -0.432 eV per atom

a b c (Å): 4.234 4.234 4.106
angles (deg): 90.00 90.00 90.00
Fractional coordinates of all 5 atoms:
1 Mo 0.000 0.000 0.500
2 N 0.000 0.000 0.000
3 Pd 0.500 0.500 0.500
4 Ta 0.000 0.500 0.000
5 Ta 0.500 0.000 0.000


A relaxed Pr6Se8I crystal, computed with PBE.

Computed properties:
Space group: P-3 (147)
Total moment: 0.000 μB/cell
Uncorrected formation energy: -1.696 eV per atom

a b c (Å): 4.343 11.801 11.801
angles (deg): 120.00 90.00 90.00
Fractional coordinates of all 15 atoms:
1 Pr 0.746 0.534 0.674
2 Pr 0.746 0.326 0.860
3 Pr 0.746 0.140 0.466
4 Pr 0.254 0.466 0.326
5 Pr 0.254 0.674 0.140
6 Pr 0.254 0.860 0.534
7 Se 0.754 0.612 0.951
8 Se 0.754 0.049 0.661
9 Se 0.754 0.339 0.388
10 Se 0.246 0.388 0.049
11 Se 0.246 0.951 0.339
12 Se 0.246 0.661 0.612
13 Se 0.752 0.667 0.333
14 Se 0.248 0.333 0.667
15 I 0.500 0.000 0.000


Copy entry 3 word for word.
A relaxed BaAs2 crystal, computed with PBE.

Computed properties:
Space group: P4/mmm (123)
Energy of formation: -0.580 eV/atom
Total moment: 0.000 μB/cell

a b c (Å): 4.122 4.122 5.316
angles (deg): 90.00 90.00 90.00
Fractional coordinates of all 3 atoms:
1 As 0.000 0.500 0.500
2 As 0.500 0.000 0.500
3 Ba 0.000 0.000 0.000


What did the tenth record say?
A relaxed ScPAuCl2 crystal, computed with PBE.

Computed properties:
Offset from the most stable computed form: 0.5724 eV per atom
Space group: P4/mmm (123)
Total moment: 0.234 μB/cell
Uncorrected formation energy: 0.102 eV per atom

a b c (Å): 4.863 4.863 5.096
angles (deg): 90.00 90.00 90.00
Each line ends with the local moment (μB).
Fractional coordinates of all 5 atoms:
1 Sc 0.500 0.500 0.500  0.29
2 P 0.000 0.000 0.500  -0.05
3 Au 0.000 0.000 0.000  -0.01
4 Cl 0.000 0.500 0.000  -0.01
5 Cl 0.500 0.000 0.000  -0.01


> Which formula does entry 2 have?

Pr6SmTm8